(1)
The following is a PBE calculation of crystalline MnNbTc at its relaxed geometry, from Alexandria via LeMat-Bulk.

Structure (extended XYZ):
```
3
Lattice="-1.570 1.570 4.575 1.570 -1.570 4.575 1.570 1.570 -4.575" Properties=species:S:1:pos:R:3 pbc="T T T"
Mn 0.000 0.000 0.000
Nb 0.000 0.000 3.031
Tc 0.000 0.000 6.047
```

Properties
V, Å³/atom: 15.0
Density, g/cm3: 9.046
Magnetic moment, μB per cell: 1.82
Total energy, eV/atom: -9.8618
Energy of formation from the pure elements, eV/atom: 0.0067
DOS at the Fermi energy, states/eV/atom: 1.181

---

(2)
The following is a PBE calculation of crystalline MnNb2Tc2 at its relaxed geometry, from Alexandria via LeMat-Bulk.

Structure (extended XYZ):
```
10
Lattice="6.178 0.000 0.000 0.000 6.178 0.000 0.000 0.000 4.264" Properties=species:S:1:pos:R:3 pbc="T T T"
Mn 0.000 0.000 0.000
Mn 3.089 3.089 0.000
Nb 1.117 1.972 2.132
Nb 1.972 5.061 2.132
Nb 4.206 1.117 2.132
Nb 5.061 4.206 2.132
Tc 0.900 3.989 0.000
Tc 2.189 0.900 0.000
Tc 3.989 5.278 0.000
Tc 5.278 2.189 0.000
```

Properties
V, Å³/atom: 16.3
Density, g/cm3: 8.911
Magnetic moment, μB per cell: 0.00
Total energy, eV/atom: -9.8110
Energy of formation from the pure elements, eV/atom: 0.1972
DOS at the Fermi energy, states/eV/atom: 1.056

---

(3)
The following is a PBE calculation of crystalline MnNb4Tc at its relaxed geometry, from Alexandria via LeMat-Bulk.

Structure (extended XYZ):
```
6
Lattice="4.597 0.000 0.000 0.000 4.019 0.000 -1.076 0.000 6.098" Properties=species:S:1:pos:R:3 pbc="T T T"
Mn 0.000 0.000 0.000
Nb -0.732 2.009 4.641
Nb 2.002 0.000 1.435
Nb 1.519 0.000 4.663
Nb 4.253 2.009 1.457
Tc 1.760 2.009 3.049
```

Properties
V, Å³/atom: 18.8
Density, g/cm3: 7.732
Magnetic moment, μB per cell: 0.00
Total energy, eV/atom: -9.6278
Energy of formation from the pure elements, eV/atom: 0.3413
DOS at the Fermi energy, states/eV/atom: 1.075